Entry 1:
The following is a DFT calculation (PBE) of a relaxed Tb2Pr4Y crystal.

Values from the calculation:
Formation enthalpy at 0 K in eV/f.u.: 0.42
DFT total energy in eV/atom: -4.918
Spin magnetization in μB per formula unit: 0.00
DOS(E_F) in states/eV/cell: 22.007
Symmetry: No. 43
Energy relative to the lowest polymorph listed for this composition in meV per atom: 0

Lattice parameters (Å, degrees): 12.693 6.892 13.683 67.03 30.00 82.98
Positions (direct):
Tb: 0.011 0.489 0.058
Tb: 0.192 0.808 0.239
Tb: 0.489 0.011 0.442
Tb: 0.808 0.192 0.761
Pr: 0.075 0.319 0.284
Pr: 0.319 0.075 0.322
Pr: 0.399 0.552 0.314
Pr: 0.515 0.936 0.698
Pr: 0.552 0.399 0.735
Pr: 0.928 0.966 0.931
Pr: 0.936 0.515 0.851
Pr: 0.966 0.928 0.175
Y: 0.443 0.443 0.557
Y: 0.693 0.693 0.807

---

Entry 2:
The following is a DFT calculation (PBE) of a relaxed Tb4PrY crystal.

Values from the calculation:
Formation enthalpy at 0 K in eV/f.u.: 1.49
DFT total energy in eV/atom: -4.712
Spin magnetization in μB per formula unit: 0.00
DOS(E_F) in states/eV/cell: 17.444
Symmetry: No. 63
Energy relative to the lowest polymorph listed for this composition in meV per atom: 231

Lattice parameters (Å, degrees): 6.950 6.950 9.786 90.00 90.00 121.82
Positions (direct):
Tb: 0.136 0.344 0.750
Tb: 0.154 0.846 0.570
Tb: 0.154 0.846 0.930
Tb: 0.344 0.136 0.250
Tb: 0.656 0.864 0.750
Tb: 0.846 0.154 0.070
Tb: 0.846 0.154 0.430
Tb: 0.864 0.656 0.250
Pr: 0.322 0.678 0.250
Pr: 0.678 0.322 0.750
Y: 0.500 0.500 0.000
Y: 0.500 0.500 0.500

---

Entry 3:
The following is a DFT calculation (PBE) of a relaxed Tb2PrY2 crystal.

Values from the calculation:
Formation enthalpy at 0 K in eV/f.u.: 0.56
DFT total energy in eV/atom: -5.281
Spin magnetization in μB per formula unit: 0.00
DOS(E_F) in states/eV/cell: 19.671
Symmetry: No. 12
Energy relative to the lowest polymorph listed for this composition in meV per atom: 32

Lattice parameters (Å, degrees): 6.881 6.881 9.675 107.53 107.53 50.21
Positions (direct):
Tb: 0.155 0.155 0.044
Tb: 0.265 0.265 0.737
Tb: 0.735 0.735 0.263
Tb: 0.845 0.845 0.956
Pr: 0.049 0.049 0.347
Pr: 0.951 0.951 0.653
Y: 0.355 0.355 0.425
Y: 0.445 0.445 0.131
Y: 0.555 0.555 0.869
Y: 0.645 0.645 0.575

---

Entry 4:
The following is a DFT calculation (PBE) of a relaxed TbPrY2 crystal.

Values from the calculation:
Formation enthalpy at 0 K in eV/f.u.: 0.08
DFT total energy in eV/atom: -5.565
Spin magnetization in μB per formula unit: 0.00
DOS(E_F) in states/eV/cell: 7.390
Symmetry: No. 44
Energy relative to the lowest polymorph listed for this composition in meV per atom: 3

Lattice parameters (Å, degrees): 6.827 6.827 6.827 148.73 64.87 124.75
Positions (direct):
Tb: 0.000 0.000 0.000
Pr: 0.504 0.004 0.500
Y: 0.415 0.667 0.748
Y: 0.919 0.667 0.252